1.
The following is a DFT calculation (PBE-GGA) of an optimized crystal structure of CsGeSe2.

a = 13.7483 Å, b = 13.7483 Å, c = 4.6624 Å
α = 90.00°, β = 90.00°, γ = 155.97°
Positions (direct):
Cs1 0.1736 0.8264 0.7500
Cs2 0.8264 0.1736 0.2500
Ge1 0.3988 0.6012 0.7500
Ge2 0.6012 0.3988 0.2500
Se1 0.3128 0.6872 0.7500
Se2 0.4330 0.5670 0.2500
Se3 0.5670 0.4330 0.7500
Se4 0.6872 0.3128 0.2500

Calculated values
Crystal system: orthorhombic
Calculated density: 3.4 g cm⁻³
Space-group type: No. 63
Formation energy without anion corrections: -0.5302 eV per atom
DOS at the Fermi energy: 0.108 states/eV per atom

---

2.
The following is a DFT calculation (PBE-GGA) of an optimized crystal structure of TmPu2Te2S2.

a = 8.7063 Å, b = 8.7063 Å, c = 8.7063 Å
α = 146.49°, β = 146.49°, γ = 48.12°
Positions (direct):
Tm1 0.0000 0.0000 0.0000
Pu1 0.3829 0.3829 0.0000
Pu2 0.6171 0.6171 0.0000
Te1 0.1861 0.1861 0.0000
Te2 0.8139 0.8139 0.0000
S1 0.0000 0.5000 0.5000
S2 0.5000 0.0000 0.5000

Calculated values
Crystal system: tetragonal
Calculated density: 8.1 g cm⁻³
Space-group type: No. 139
Formation energy without anion corrections: -1.3033 eV per atom
DOS at the Fermi energy: 3.491 states/eV per atom

---

3.
The following is a DFT calculation (PBE-GGA) of an optimized crystal structure of Zr3Cl5.

a = 7.2409 Å, b = 7.2409 Å, c = 3.1901 Å
α = 90.00°, β = 90.00°, γ = 100.76°
Positions (direct):
Zr1 0.0000 0.0000 0.0000
Zr2 0.2872 0.7128 0.5000
Zr3 0.7128 0.2872 0.5000
Cl1 0.0000 0.5000 0.0000
Cl2 0.2140 0.2140 0.5000
Cl3 0.5000 0.0000 0.0000
Cl4 0.5000 0.5000 0.0000
Cl5 0.7860 0.7860 0.5000

Calculated values
Crystal system: orthorhombic
Calculated density: 4.6 g cm⁻³
Space-group type: No. 65
Formation energy without anion corrections: -0.8953 eV per atom
DOS at the Fermi energy: 0.730 states/eV per atom

---

What are the M_tot values for these records? In order: 0.00, 10.99, 0.00 Bohr magnetons per cell.